Crystalline FeSnGe2Pd at its relaxed geometry, computed with PBE.

Summary:
energy relative to the elements	0.17	eV per atom

abc: 4.4136 4.9215 4.4136
angles: 90.00 90.00 90.00
Atoms (fractional coordinates):
Ge 0.5000 0.0000 0.0000
Ge 0.0000 0.0000 0.5000
Sn 0.0000 0.5000 0.0000
Fe 0.0000 0.0000 0.0000
Pd 0.5000 0.5000 0.5000